[1]
A plane-wave DFT calculation with PBE was carried out for an optimized crystal structure of AgHgTeI2.

Output
* DOS at the Fermi energy: 1.246 states/eV per atom
* E_form (uncorrected): 0.4523 eV/atom
* distance to the lowest polymorph of the same formula: 182 meV/atom
* electronic total energy: -1.427 eV per atom

a b c (Å): 5.9327 5.9327 5.6565
angles (deg): 90.00 90.00 90.00
With the nearest neighbours (Å) after each atom.
Fractional coordinates of all 5 atoms:
I 0.0000 0.5000 0.0000  2 Hg 2.97
I 0.5000 0.0000 0.0000  2 Hg 2.97
Te 0.0000 0.0000 0.5000  2 Hg 2.83
Hg 0.0000 0.0000 0.0000  2 Te 2.83, 4 I 2.97
Ag 0.5000 0.5000 0.5000  8 I 4.10, 4 Te 4.20

[2]
A plane-wave DFT calculation with PBE was carried out for an optimized crystal structure of ThAgHgI6.

Output
* DOS at the Fermi energy: 0.330 states/eV per atom
* E_form (uncorrected): -0.7227 eV/atom
* electronic total energy: -2.931 eV per atom

a b c (Å): 8.5975 7.4764 7.9315
angles (deg): 102.72 95.56 64.22
With the nearest neighbours (Å) after each atom.
Fractional coordinates of all 9 atoms:
Th 0.3661 0.3169 0.5000  6 I 3.06-3.13
Ag 0.4939 0.7531 0.5001  4 I 2.87-2.90
Hg 0.0944 0.9531 0.9997  2 I 3.00
I 0.0400 0.2779 0.3178  1 Hg 3.00, 1 Th 3.13
I 0.3526 0.0945 0.7787  1 Ag 2.87, 1 Th 3.08
I 0.6305 0.4459 0.7117  1 Ag 2.90, 1 Th 3.06
I 0.0402 0.6819 0.6819  1 Hg 3.00, 1 Th 3.13
I 0.3521 0.5531 0.2215  1 Ag 2.87, 1 Th 3.08
I 0.6298 0.9237 0.2885  1 Ag 2.90, 1 Th 3.06

[3]
A plane-wave DFT calculation with PBE was carried out for an optimized crystal structure of TiAgHgI6.

Output
* DOS at the Fermi energy: 0.118 states/eV per atom
* E_form (uncorrected): -0.4405 eV/atom
* electronic total energy: -2.701 eV per atom

a b c (Å): 7.4505 7.6336 7.8157
angles (deg): 111.50 100.82 59.21
With the nearest neighbours (Å) after each atom.
Fractional coordinates of all 9 atoms:
Ti 0.3079 0.3459 0.5002  6 I 2.76-2.80
Ag 0.6166 0.6920 0.4995  6 I 2.93-3.16
Hg 0.2729 0.8633 0.0002  4 I 3.06-3.13
I 0.9870 0.2916 0.2791  1 Ti 2.80, 1 Ag 3.04, 1 Hg 3.06
I 0.3131 0.1246 0.7164  1 Ti 2.78, 1 Ag 2.93
I 0.6009 0.4359 0.7304  1 Ti 2.76
I 0.9867 0.7213 0.7205  1 Ti 2.80, 1 Ag 3.03, 1 Hg 3.06
I 0.3135 0.5620 0.2838  1 Ti 2.78, 1 Ag 2.93
I 0.6012 0.9635 0.2699  1 Ti 2.76

[4]
A plane-wave DFT calculation with PBE was carried out for an optimized crystal structure of TlAg2HgI6.

Output
* DOS at the Fermi energy: 0.113 states/eV per atom
* E_form (uncorrected): -0.2567 eV/atom
* electronic total energy: -2.024 eV per atom

a b c (Å): 8.8620 11.0378 11.0378
angles (deg): 87.68 70.07 70.07
With the nearest neighbours (Å) after each atom.
Fractional coordinates of all 20 atoms:
Tl 0.2500 0.8787 0.1213  6 I 3.54-3.63
Tl 0.7500 0.1213 0.8787  6 I 3.54-3.63
Ag 0.3593 0.7493 0.5997  4 I 2.79-2.89
Ag 0.1407 0.4003 0.2507  4 I 2.79-2.89
Ag 0.6407 0.2507 0.4003  4 I 2.79-2.89
Ag 0.8593 0.5997 0.7493  4 I 2.79-2.89
Hg 0.2500 0.1806 0.8194  4 I 2.78-3.00
Hg 0.7500 0.8194 0.1806  4 I 2.78-3.00
I 0.1843 0.9313 0.8205  1 Ag 2.84, 1 Hg 3.00
I 0.3157 0.1795 0.0687  1 Ag 2.84, 1 Hg 3.00
I 0.8157 0.0687 0.1795  1 Ag 2.84, 1 Hg 3.00
I 0.6843 0.8205 0.9313  1 Ag 2.84, 1 Hg 3.00
I 0.4275 0.8844 0.3719  1 Hg 2.78, 1 Ag 2.86
I 0.0725 0.6281 0.1156  1 Hg 2.78, 1 Ag 2.86
I 0.5725 0.1156 0.6281  1 Hg 2.78, 1 Ag 2.86
I 0.9275 0.3719 0.8844  1 Hg 2.78, 1 Ag 2.86
I 0.1012 0.6719 0.5537  2 Ag 2.79-2.89
I 0.3988 0.4463 0.3281  2 Ag 2.79-2.89
I 0.8988 0.3281 0.4463  2 Ag 2.79-2.89
I 0.6012 0.5537 0.6719  2 Ag 2.79-2.89

Which value of E_form (uncorrected) does entry 1 give? 0.4523 eV/atom

The highest DOS at the Fermi energy belongs to which entry? AgHgTeI2